Entry 1:
Computed, not measured: a relaxed Ca2Mg crystal at the PBE-GGA level of DFT.

Results
DOS(E_F) ... 0.82 states/eV/atom
ΔE_f ... 0.13 eV/atom
Space-group type ... P4/mmm, No. 123

Unit cell a=5.5785 b=5.5785 c=3.8207 alpha=90.00 beta=90.00 gamma=90.00
With the nearest neighbours (Å) after each atom.
Atoms (fractional coordinates):
Ca 0.0000 0.5000 0.0000  4 Mg 3.38
Ca 0.5000 0.0000 0.0000  4 Mg 3.38
Mg 0.0000 0.0000 0.5000  8 Ca 3.38



Entry 2:
Computed, not measured: a relaxed SrLa2Ag2 crystal at the PBE-GGA level of DFT.

Results
DOS(E_F) ... 1.62 states/eV/atom
ΔE_f ... -0.17 eV/atom
Space-group type ... P4/mbm, No. 127

Unit cell a=8.8387 b=8.8387 c=4.0715 alpha=90.00 beta=90.00 gamma=90.00
With the nearest neighbours (Å) after each atom.
Atoms (fractional coordinates):
Sr 0.0000 0.0000 0.0000  4 Ag 3.49, 8 La 3.90
Sr 0.5000 0.5000 0.0000  4 Ag 3.49, 8 La 3.90
La 0.1595 0.3405 0.5000  6 Ag 3.26-3.37
La 0.3405 0.8405 0.5000  6 Ag 3.26-3.37
La 0.6595 0.1595 0.5000  6 Ag 3.26-3.37
La 0.8405 0.6595 0.5000  6 Ag 3.26-3.37
Ag 0.1260 0.6260 0.0000  1 Ag 3.15, 6 La 3.26-3.37, 2 Sr 3.49
Ag 0.3740 0.1260 0.0000  1 Ag 3.15, 6 La 3.26-3.37, 2 Sr 3.49
Ag 0.6260 0.8740 0.0000  1 Ag 3.15, 6 La 3.26-3.37, 2 Sr 3.49
Ag 0.8740 0.3740 0.0000  1 Ag 3.15, 6 La 3.26-3.37, 2 Sr 3.49



Entry 3:
Computed, not measured: a relaxed Ac2SeS crystal at the PBE-GGA level of DFT.

Results
DOS(E_F) ... 0.66 states/eV/atom
ΔE_f (raw) ... -1.758 eV per atom
Space-group type ... Pmmn, No. 59

Unit cell a=4.2051 b=7.9317 c=7.3452 alpha=90.00 beta=90.00 gamma=90.00
With the nearest neighbours (Å) after each atom.
Atoms (fractional coordinates):
Ac 0.2500 0.0022 0.2371  3 S 3.09-3.10, 3 Se 3.19-3.20
Ac 0.2500 0.4978 0.2371  3 S 3.09-3.10, 3 Se 3.19-3.20
Ac 0.7500 0.5022 0.7629  3 S 3.09-3.10, 3 Se 3.19-3.20
Ac 0.7500 0.9978 0.7629  3 S 3.09-3.10, 3 Se 3.19-3.20
Se 0.2500 0.2500 0.5793  6 Ac 3.19-3.20
Se 0.7500 0.7500 0.4207  6 Ac 3.19-3.20
S 0.2500 0.7500 0.9145  6 Ac 3.09-3.10
S 0.7500 0.2500 0.0855  6 Ac 3.09-3.10



Entry 4:
Computed, not measured: a relaxed Zr2SbS crystal at the PBE-GGA level of DFT.

Results
DOS(E_F) ... 0.52 states/eV/atom
ΔE_f (raw) ... -1.071 eV per atom
Space-group type ... R3m, No. 160

Unit cell a=7.1289 b=7.1289 c=7.1289 alpha=30.83 beta=30.83 gamma=30.83
With the nearest neighbours (Å) after each atom.
Atoms (fractional coordinates):
Zr 0.0000 0.0000 0.0000  3 S 2.57
Zr 0.1991 0.1991 0.1991  3 S 2.58
Sb 0.4319 0.4319 0.4319  6 Zr 2.97-3.00
S 0.6000 0.6000 0.6000  6 Zr 2.57-2.58



Entry 5:
Computed, not measured: a relaxed PmSmMnGa crystal at the PBE-GGA level of DFT.

Results
DOS(E_F) ... 1.29 states/eV/atom
ΔE_f ... -0.11 eV/atom
Space-group type ... F-43m, No. 216

Unit cell a=5.1640 b=5.1640 c=5.1640 alpha=60.00 beta=60.00 gamma=60.00
With the nearest neighbours (Å) after each atom.
Atoms (fractional coordinates):
Pm 0.0000 0.0000 0.0000  4 Mn 3.16, 4 Ga 3.16
Sm 0.5000 0.5000 0.5000  4 Mn 3.16, 4 Ga 3.16
Mn 0.7500 0.7500 0.7500  4 Pm 3.16, 4 Sm 3.16
Ga 0.2500 0.2500 0.2500  4 Pm 3.16, 4 Sm 3.16



Entry 6:
Computed, not measured: a relaxed Ag3Cl4 crystal at the PBE-GGA level of DFT.

Results
DOS(E_F) ... 1.65 states/eV/atom
ΔE_f (raw) ... -0.399 eV per atom
Space-group type ... Fd-3m, No. 227

Unit cell a=7.8899 b=7.8899 c=7.8899 alpha=60.00 beta=60.00 gamma=60.00
With the nearest neighbours (Å) after each atom.
Atoms (fractional coordinates):
Ag 0.0000 0.0000 0.0000  6 Cl 2.71
Ag 0.0000 0.0000 0.5000  6 Cl 2.71
Ag 0.0000 0.5000 0.0000  6 Cl 2.71
Ag 0.3750 0.3750 0.3750  4 Cl 2.56
Ag 0.5000 0.0000 0.0000  6 Cl 2.71
Ag 0.6250 0.6250 0.6250  4 Cl 2.56
Cl 0.2283 0.7572 0.7572  4 Ag 2.56-2.71
Cl 0.2428 0.2428 0.2428  4 Ag 2.56-2.71
Cl 0.2428 0.2428 0.7717  4 Ag 2.56-2.71
Cl 0.2428 0.7717 0.2428  4 Ag 2.56-2.71
Cl 0.7572 0.2283 0.7572  4 Ag 2.56-2.71
Cl 0.7572 0.7572 0.2283  4 Ag 2.56-2.71
Cl 0.7572 0.7572 0.7572  4 Ag 2.56-2.71
Cl 0.7717 0.2428 0.2428  4 Ag 2.56-2.71



Entry 7:
Computed, not measured: a relaxed ScAsH2Pb crystal at the PBE-GGA level of DFT.

Results
DOS(E_F) ... 0.14 states/eV/atom
Final energy ... -0.286 Ry per atom
Space-group type ... P4/mmm, No. 123

Unit cell a=4.0507 b=4.0507 c=5.8405 alpha=90.00 beta=90.00 gamma=90.00
With the nearest neighbours (Å) after each atom.
Atoms (fractional coordinates):
Sc 0.0000 0.0000 0.0000  4 Pb 2.86
As 0.5000 0.5000 0.5000  4 H 2.03
H 0.0000 0.5000 0.5000  2 As 2.03
H 0.5000 0.0000 0.5000  2 As 2.03
Pb 0.5000 0.5000 0.0000  4 Sc 2.86, 2 As 2.92



Entry 8:
Computed, not measured: a relaxed TbInCuRu crystal at the PBE-GGA level of DFT.

Results
DOS(E_F) ... 0.71 states/eV/atom
ΔE_f ... -0.17 eV/atom
Space-group type ... F-43m, No. 216

Unit cell a=4.7253 b=4.7253 c=4.7253 alpha=60.00 beta=60.00 gamma=60.00
With the nearest neighbours (Å) after each atom.
Atoms (fractional coordinates):
Tb 0.0000 0.0000 0.0000  4 Cu 2.89, 4 Ru 2.89
In 0.5000 0.5000 0.5000  4 Cu 2.89, 4 Ru 2.89
Cu 0.7500 0.7500 0.7500  4 Tb 2.89, 4 In 2.89
Ru 0.2500 0.2500 0.2500  4 Tb 2.89, 4 In 2.89



Entry 9:
Computed, not measured: a relaxed Cs2LiBF6 crystal at the PBE-GGA level of DFT.

Results
DOS(E_F) ... 0.00 states/eV/atom
ΔE_f (raw) ... -2.521 eV per atom
Space-group type ... I4/mmm, No. 139

Unit cell a=6.2240 b=6.2240 c=6.2240 alpha=125.78 beta=125.78 gamma=80.25
With the nearest neighbours (Å) after each atom.
Atoms (fractional coordinates):
Cs 0.2500 0.7500 0.5000  12 F 3.00-3.11
Cs 0.7500 0.2500 0.5000  12 F 3.00-3.11
Li 0.0000 0.0000 0.0000  4 F 2.12
B 0.5000 0.5000 0.0000  2 F 1.41
F 0.2639 0.2639 0.5278  1 B 1.89, 1 Li 2.12
F 0.2639 0.7361 0.0000  1 B 1.89, 1 Li 2.12
F 0.3516 0.3516 0.0000  1 B 1.41
F 0.6484 0.6484 0.0000  1 B 1.41
F 0.7361 0.2639 0.0000  1 B 1.89, 1 Li 2.12
F 0.7361 0.7361 0.4722  1 B 1.89, 1 Li 2.12



Entry 10:
Computed, not measured: a relaxed TbY4Ho8 crystal at the PBE-GGA level of DFT.

Results
DOS(E_F) ... 1.42 states/eV/atom
ΔE_f ... 0.21 eV/atom
Space-group type ... R-3m, No. 166

Unit cell a=9.9290 b=9.9290 c=9.9290 alpha=43.13 beta=43.13 gamma=43.13
With the nearest neighbours (Å) after each atom.
Atoms (fractional coordinates):
Tb 0.0000 0.0000 0.0000  6 Ho 2.92
Y 0.0000 0.0000 0.5000  6 Ho 3.55-3.78, 6 Y 3.65
Y 0.0000 0.5000 0.0000  6 Ho 3.55-3.78, 6 Y 3.65
Y 0.5000 0.0000 0.0000  6 Ho 3.55-3.78, 6 Y 3.65
Y 0.5000 0.5000 0.5000  6 Ho 3.33, 6 Y 3.65
Ho 0.2502 0.2502 0.6929  1 Tb 2.92, 2 Ho 3.23
Ho 0.2502 0.6929 0.2502  1 Tb 2.92, 2 Ho 3.23
Ho 0.2829 0.2829 0.2829  9 Ho 3.62-3.68, 3 Y 3.78
Ho 0.3071 0.7498 0.7498  1 Tb 2.92, 2 Ho 3.23
Ho 0.6929 0.2502 0.2502  1 Tb 2.92, 2 Ho 3.23
Ho 0.7171 0.7171 0.7171  9 Ho 3.62-3.68, 3 Y 3.78
Ho 0.7498 0.3071 0.7498  1 Tb 2.92, 2 Ho 3.23
Ho 0.7498 0.7498 0.3071  1 Tb 2.92, 2 Ho 3.23



Entry 11:
Computed, not measured: a relaxed La2TmAu crystal at the PBE-GGA level of DFT.

Results
DOS(E_F) ... 1.53 states/eV/atom
ΔE_f ... -0.34 eV/atom
Space-group type ... P4/mmm, No. 123

Unit cell a=3.8362 b=3.8362 c=8.3128 alpha=90.00 beta=90.00 gamma=90.00
With the nearest neighbours (Å) after each atom.
Atoms (fractional coordinates):
La 0.0000 0.0000 0.2168  4 Au 3.26, 4 Tm 3.59, 1 La 3.60
La 0.0000 0.0000 0.7832  4 Au 3.26, 4 Tm 3.59, 1 La 3.60
Tm 0.5000 0.5000 0.5000  8 La 3.59, 4 Tm 3.84
Au 0.5000 0.5000 0.0000  8 La 3.26



Entry 12:
Computed, not measured: a relaxed SrLaSi2 crystal at the PBE-GGA level of DFT.

Results
DOS(E_F) ... 0.84 states/eV/atom
ΔE_f (raw) ... -0.124 eV per atom
Space-group type ... P4mm, No. 99

Unit cell a=3.4985 b=3.4985 c=8.7894 alpha=90.00 beta=90.00 gamma=90.00
With the nearest neighbours (Å) after each atom.
Atoms (fractional coordinates):
Sr 0.0000 0.0000 0.0000  5 Si 3.14-3.34, 4 Sr 3.50
La 0.5000 0.5000 0.4045  5 Si 2.99-3.24
Si 0.0000 0.0000 0.6425  4 Si 2.63
Si 0.5000 0.5000 0.7448  4 Si 2.63



The total magnetic moment results, record by record, are as follows: 0.00, 0.00, 0.00, 0.00, 0.83, 0.00, 0.00, 0.00, 0.00, 0.00, 0.00, 0.00 μB per atom.